YMnPO2 (GGA+U, optimized geometry); total moment = 3.26 μB per formula unit; E = -35.605 eV for the cell shown; offset from the most stable computed form = 0.0 meV/atom
1.0
3.924 0.000 0.000
0.000 3.924 0.000
0.000 0.000 4.739
Y Mn P O
1 1 1 2
Direct
0.000 0.000 0.000
0.500 0.500 0.500
0.500 0.500 0.000
0.000 0.500 0.500
0.500 0.000 0.500